Record 1
# Ba7NaPt2 GGA-PBE optimized geometry
# N(E_F) = 15.61 states/eV per cell
# Formation enthalpy at 0 K = -0.3156 eV/atom
# Energy = -3.00 eV/atom
data_Ba7NaPt2
_chemical_formula_sum 'Ba14 Na2 Pt4'
_cell_length_a 10.4553
_cell_length_b 16.4536
_cell_length_c 6.2181
_cell_angle_alpha 90.00
_cell_angle_beta 90.00
_cell_angle_gamma 90.00
_symmetry_space_group_name_H-M 'C m m m'
_symmetry_Int_Tables_number 65
_symmetry_space_group_name_Hall '-C 2 2'
loop_
_atom_site_label
_atom_site_type_symbol
_atom_site_fract_x
_atom_site_fract_y
_atom_site_fract_z
_atom_site_occupancy
Ba1 Ba 0.0000 0.0000 0.0000 1
Ba2 Ba 0.0000 0.2000 0.5000 1
Ba3 Ba 0.1909 0.3598 0.0000 1
Na1 Na 0.0000 0.5000 0.5000 1
Pt1 Pt 0.0000 0.2008 0.0000 1

Record 2
# Ir2RhSe6 GGA-PBE optimized geometry
# N(E_F) = 21.57 states/eV per cell
# Energy = -5.21 eV/atom
# Formation energy from raw total energies = -102 meV per atom
# Excess energy over the best structure of this formula in the dataset = 187 meV/atom
data_Ir2RhSe6
_chemical_formula_sum 'Ir4 Rh2 Se12'
_cell_length_a 5.6914
_cell_length_b 5.6914
_cell_length_c 11.8006
_cell_angle_alpha 90.00
_cell_angle_beta 90.00
_cell_angle_gamma 90.00
_symmetry_space_group_name_H-M 'P 42/m n m'
_symmetry_Int_Tables_number 136
_symmetry_space_group_name_Hall '-P 4n 2n'
loop_
_atom_site_label
_atom_site_type_symbol
_atom_site_fract_x
_atom_site_fract_y
_atom_site_fract_z
_atom_site_occupancy
Ir1 Ir 0.0000 0.0000 0.1665 1
Rh1 Rh 0.0000 0.0000 0.5000 1
Se1 Se 0.1922 0.1922 0.0000 1
Se2 Se 0.1919 0.1919 0.3333 1

Record 3
# LaSnSe2Br GGA-PBE optimized geometry
# N(E_F) = 0.70 states/eV per cell
# Energy = -4.26 eV/atom
# Formation energy from raw total energies = -745 meV per atom
data_LaSnSe2Br
_chemical_formula_sum 'La1 Sn1 Se2 Br1'
_cell_length_a 5.7896
_cell_length_b 5.7896
_cell_length_c 5.6314
_cell_angle_alpha 90.00
_cell_angle_beta 90.00
_cell_angle_gamma 90.00
_symmetry_space_group_name_H-M 'P 4/m m m'
_symmetry_Int_Tables_number 123
_symmetry_space_group_name_Hall '-P 4 2'
loop_
_atom_site_label
_atom_site_type_symbol
_atom_site_fract_x
_atom_site_fract_y
_atom_site_fract_z
_atom_site_occupancy
La1 La 0.0000 0.0000 0.0000 1
Sn1 Sn 0.5000 0.5000 0.5000 1
Se1 Se 0.0000 0.5000 0.0000 1
Br1 Br 0.0000 0.0000 0.5000 1

Record 4
# ScRe2Au GGA-PBE optimized geometry
# N(E_F) = 7.72 states/eV per cell
# Formation enthalpy at 0 K = 0.1431 eV/atom
# Energy = -8.48 eV/atom
# Excess energy over the best structure of this formula in the dataset = 267 meV/atom
data_ScRe2Au
_chemical_formula_sum 'Sc2 Re4 Au2'
_cell_length_a 9.8427
_cell_length_b 2.8691
_cell_length_c 4.8064
_cell_angle_alpha 90.00
_cell_angle_beta 100.11
_cell_angle_gamma 90.00
_symmetry_space_group_name_H-M 'C 1 2/m 1'
_symmetry_Int_Tables_number 12
loop_
_symmetry_equiv_pos_as_xyz
'x,y,z'
'-x,-y,-z'
'-x,y,-z'
'x,-y,z'
'x+1/2,y+1/2,z'
'-x+1/2,-y+1/2,-z'
'-x+1/2,y+1/2,-z'
'x+1/2,-y+1/2,z'
loop_
_atom_site_label
_atom_site_type_symbol
_atom_site_fract_x
_atom_site_fract_y
_atom_site_fract_z
_atom_site_occupancy
Sc1 Sc 0.0000 0.0000 0.0000 1
Re1 Re 0.2452 0.0000 0.7584 1
Au1 Au 0.0000 0.5000 0.5000 1